LiHgI4 (GGA-PBE, optimized geometry); symmetry = No. 15; formation energy without anion corrections = -483 meV/atom
1.0
9.0517 -0.5984 0.0000
-2.0826 6.1458 0.0000
-3.4845 -2.7737 10.6115
Li Hg I
2 2 8
Direct
0.8373 0.0873 0.1746 Li
0.1627 0.9127 0.8254 Li
0.3708 0.6208 0.2416 Hg
0.6292 0.3792 0.7584 Hg
0.3197 0.9930 0.6521 I
0.1446 0.7640 0.0450 I
0.1676 0.3409 0.3479 I
0.5996 0.7190 0.9550 I
0.6803 0.0070 0.3479 I
0.8324 0.6591 0.6521 I
0.8554 0.2360 0.9550 I
0.4004 0.2810 0.0450 I

=====

In2Ir (GGA-PBE, optimized geometry); E_form = -143 meV per atom; symmetry = No. 140
1.0
5.4497 0.0077 0.0000
-2.3675 4.9085 0.0000
-1.5411 -2.4581 4.6132
In Ir
4 2
Direct
0.3243 0.1757 0.5000 In
0.6757 0.8243 0.5000 In
0.1757 0.6757 0.8513 In
0.8243 0.3243 0.1487 In
0.7500 0.7500 0.0000 Ir
0.2500 0.2500 0.0000 Ir

=====

ZrMnN2 (GGA-PBE, optimized geometry); symmetry = No. 62; formation energy without anion corrections = -885 meV/atom
1.0
4.4468 0.0000 0.0000
0.0000 6.4920 0.0000
0.0000 0.0000 7.2551
Zr Mn N
4 4 8
Direct
0.7500 0.5941 0.6311 Zr
0.2500 0.4059 0.3689 Zr
0.2500 0.9059 0.1311 Zr
0.7500 0.0941 0.8689 Zr
0.7500 0.5856 0.1258 Mn
0.2500 0.4144 0.8742 Mn
0.2500 0.9144 0.6258 Mn
0.7500 0.0856 0.3742 Mn
0.2500 0.5839 0.6222 N
0.7500 0.4161 0.3778 N
0.7500 0.9161 0.1222 N
0.2500 0.0839 0.8778 N
0.2500 0.5787 0.1204 N
0.7500 0.4213 0.8796 N
0.7500 0.9213 0.6204 N
0.2500 0.0787 0.3796 N

=====

no.,D(E_F) (states/eV/f.u.),final energy (eV per atom)
1,0.6,-1.8856
2,1.9,-4.9218
3,1.7,-9.4770